# ZrTiCo PBE relaxed
data_ZrTiCo
_space_group_name_H-M_alt 'I m m a'
_space_group_IT_number 74
_space_group_name_Hall '-I 2b 2'
_cell_length_a 5.3009
_cell_length_b 5.4521
_cell_length_c 6.7607
_cell_angle_alpha 90.00
_cell_angle_beta 90.00
_cell_angle_gamma 90.00
loop_
_atom_site_label
_atom_site_type_symbol
_atom_site_fract_x
_atom_site_fract_y
_atom_site_fract_z
Zr1 Zr 0.0000 0.2500 0.1119
Ti1 Ti 0.0000 0.0000 0.5000
Co1 Co 0.2500 0.2500 0.7500
# - density (g cm⁻³) = 6.73
# - total moment (μB per formula unit) = 0.00
# - offset from the most stable computed form (meV per atom) = 0
# - energy of formation (eV/atom) = -0.2940
# - final energy (eV per atom) = -8.144